## Na2B2MoO6 (GGA+U)

Data for a relaxed Na2B2MoO6 crystal.

Structure (CIF):
```
data_Na2B2MoO6
_chemical_formula_sum 'Na2 B2 Mo1 O6'
_cell_length_a 5.1658
_cell_length_b 5.1658
_cell_length_c 5.9659
_cell_angle_alpha 90.00
_cell_angle_beta 90.00
_cell_angle_gamma 120.00
_space_group_name_H-M_alt 'P -3'
_space_group_IT_number 147
loop_
_space_group_symop_operation_xyz
'x,y,z'
'-x,-y,-z'
'-y,x-y,z'
'y,-x+y,-z'
'-x+y,-x,z'
'x-y,x,-z'
loop_
_atom_site_label
_atom_site_fract_x
_atom_site_fract_y
_atom_site_fract_z
_atom_site_occupancy
Na1 0.3333 0.6667 0.3252 1
B1 0.3333 0.6667 0.8088 1
Mo1 0.0000 0.0000 0.0000 1
O1 0.1150 0.7459 0.7981 1
```

Output
E_tot	-6.831	eV per atom
density of states at the Fermi level	3.40	states/eV/f.u.